# AuCO2F

A relaxed structure of AuCO2F (PBE, Alexandria via LeMat-Bulk).

## Properties
**Calculated density**: 8.82 g/cm3
**D(E_F)**: 2.55 states/eV per cell
**Uncorrected formation energy**: 977 meV/atom

a b c (Å): 3.6448 3.6448 3.6838
angles (deg): 90.00 90.00 90.00
Closest atoms and distances in Å follow each position.
Fractional positions:
O1 0.5000 0.0000 0.0000  2 C 1.82
C1 0.0000 0.0000 0.0000  4 O 1.82, 2 F 1.84
F1 0.0000 0.0000 0.5000  2 C 1.84
O2 0.0000 0.5000 0.0000  2 C 1.82
Au1 0.5000 0.5000 0.5000  4 F 2.58, 8 O 2.59

***

# AuCSeF2

A relaxed structure of AuCSeF2 (PBE, Alexandria via LeMat-Bulk).

## Properties
**Calculated density**: 6.47 g/cm3
**D(E_F)**: 2.50 states/eV per cell
**Uncorrected formation energy**: 755 meV/atom

a b c (Å): 3.9546 5.3456 3.9546
angles (deg): 90.00 90.00 90.00
Closest atoms and distances in Å follow each position.
Fractional positions:
F1 0.0000 0.0000 0.5000  2 Se 1.98
Au1 0.0000 0.5000 0.0000  2 Se 2.67, 4 C 2.80
C1 0.5000 0.5000 0.5000  4 Au 2.80
Se1 0.0000 0.0000 0.0000  4 F 1.98
F2 0.5000 0.0000 0.0000  2 Se 1.98

***

# TeAu2CF

A relaxed structure of TeAu2CF (PBE, Alexandria via LeMat-Bulk).

## Properties
**Calculated density**: 7.73 g/cm3
**D(E_F)**: 2.84 states/eV per cell
**Uncorrected formation energy**: 1158 meV/atom

a b c (Å): 5.2275 5.2275 4.3461
angles (deg): 90.00 90.00 90.00
Closest atoms and distances in Å follow each position.
Fractional positions:
Au1 0.0000 0.5000 0.0000  2 Te 2.61
F1 0.5000 0.5000 0.5000  8 Au 3.40, 4 C 3.70
Au2 0.5000 0.0000 0.0000  2 Te 2.61
Te1 0.0000 0.0000 0.0000  2 C 2.17
C1 0.0000 0.0000 0.5000  2 Te 2.17

***

# FeAu3C

A relaxed structure of FeAu3C (PBE, Alexandria via LeMat-Bulk).

## Properties
**Calculated density**: 13.59 g/cm3
**DFT formation energy**: 937.4 meV per atom
**D(E_F)**: 6.32 states/eV per cell

a b c (Å): 4.3173 4.3173 4.3173
angles (deg): 90.00 90.00 90.00
Closest atoms and distances in Å follow each position.
Fractional positions:
Au1 0.5000 0.0000 0.0000  2 C 2.16
Fe1 0.5000 0.5000 0.5000  12 Au 3.05
C1 0.0000 0.0000 0.0000  6 Au 2.16
Au2 0.0000 0.0000 0.5000  2 C 2.16
Au3 0.0000 0.5000 0.0000  2 C 2.16

***

Among the records above, which one has the lowest D(E_F)? AuCSeF2

***

Which of these has the lowest calculated density? AuCSeF2

***

The lowest calculated density belongs to which entry? AuCSeF2

***

Which value of calculated density does entry 1 give? 8.82 g/cm3